Density functional theory data (GGA-PBE) for a geometry-optimized LaTa2Te structure.

Geometry as POSCAR:
```
LaTa2Te
1.0
3.710 0.000 0.000
0.000 3.710 0.000
0.000 0.000 6.846
La Ta Te
1 2 1
Direct
0.000 0.000 0.000
0.500 0.500 0.306
0.500 0.500 0.694
0.000 0.000 0.500
```

As for the energy: -7.613 eV/atom. The density of states at the Fermi level comes out at 1.02 states/eV/atom.

Density functional theory data (GGA-PBE) for a geometry-optimized LaTa2Te structure.

Geometry as POSCAR:
```
LaTa2Te
1.0
8.388 0.000 0.000
0.000 8.388 0.000
0.000 0.000 5.932
La Ta Te
4 8 4
Direct
0.000 0.000 0.000
0.000 0.500 0.250
0.500 0.000 0.750
0.500 0.500 0.500
0.191 0.250 0.625
0.250 0.691 0.875
0.250 0.809 0.375
0.309 0.250 0.125
0.691 0.750 0.125
0.750 0.191 0.375
0.750 0.309 0.875
0.809 0.750 0.625
0.000 0.000 0.500
0.000 0.500 0.750
0.500 0.000 0.250
0.500 0.500 0.000
```

As for the energy: -7.299 eV/atom. The density of states at the Fermi level comes out at 1.17 states/eV/atom.

Density functional theory data (GGA-PBE) for a geometry-optimized La2TaTe structure.

Geometry as POSCAR:
```
La2TaTe
1.0
4.036 0.000 0.000
-2.018 3.496 0.000
0.000 0.000 26.876
La Ta Te
6 3 3
Direct
0.000 0.000 0.250
0.000 0.000 0.750
0.333 0.667 0.416
0.333 0.667 0.917
0.667 0.333 0.083
0.667 0.333 0.584
0.000 0.000 0.000
0.333 0.667 0.667
0.667 0.333 0.333
0.000 0.000 0.500
0.333 0.667 0.167
0.667 0.333 0.833
```

As for the energy: -6.291 eV/atom. The density of states at the Fermi level comes out at 0.67 states/eV/atom.

Density functional theory data (GGA-PBE) for a geometry-optimized La2TaTe structure.

Geometry as POSCAR:
```
La2TaTe
1.0
7.523 0.000 0.000
0.000 7.523 0.000
0.000 0.000 7.523
La Ta Te
8 4 4
Direct
0.000 0.000 0.000
0.000 0.500 0.500
0.250 0.250 0.250
0.250 0.750 0.750
0.500 0.000 0.500
0.500 0.500 0.000
0.750 0.250 0.750
0.750 0.750 0.250
0.000 0.000 0.500
0.000 0.500 0.000
0.500 0.000 0.000
0.500 0.500 0.500
0.250 0.250 0.750
0.250 0.750 0.250
0.750 0.250 0.250
0.750 0.750 0.750
```

As for the energy: -6.052 eV/atom. The density of states at the Fermi level comes out at 1.32 states/eV/atom.

Density functional theory data (GGA-PBE) for a geometry-optimized La2TaTe structure.

Geometry as POSCAR:
```
La2TaTe
1.0
4.612 0.000 0.000
0.000 4.612 0.000
0.000 0.000 10.278
La Ta Te
4 2 2
Direct
0.000 0.000 0.000
0.000 0.500 0.250
0.500 0.000 0.750
0.500 0.500 0.500
0.000 0.500 0.750
0.500 0.000 0.250
0.000 0.000 0.500
0.500 0.500 0.000
```

As for the energy: -6.224 eV/atom. The density of states at the Fermi level comes out at 1.57 states/eV/atom.

Density functional theory data (GGA-PBE) for a geometry-optimized LaTa2Te structure.

Geometry as POSCAR:
```
LaTa2Te
1.0
3.504 0.000 0.000
0.000 3.504 0.000
0.000 0.000 7.767
La Ta Te
1 2 1
Direct
0.000 0.000 0.000
0.000 0.000 0.459
0.500 0.500 0.278
0.500 0.500 0.669
```

As for the energy: -8.023 eV/atom. The density of states at the Fermi level comes out at 0.76 states/eV/atom.

Density functional theory data (GGA-PBE) for a geometry-optimized LaTaTe4 structure.

Geometry as POSCAR:
```
LaTaTe4
1.0
0.000 4.451 4.451
4.451 0.000 4.451
4.451 4.451 0.000
La Ta Te
1 1 4
Direct
0.000 0.000 0.000
0.750 0.750 0.750
0.375 0.375 0.375
0.375 0.375 0.874
0.375 0.874 0.375
0.874 0.375 0.375
```

As for the energy: -4.335 eV/atom. The density of states at the Fermi level comes out at 1.03 states/eV/atom.

Density functional theory data (GGA-PBE) for a geometry-optimized LaTa2Te structure.

Geometry as POSCAR:
```
LaTa2Te
1.0
3.631 0.000 0.000
0.000 5.222 0.000
0.000 0.000 5.058
La Ta Te
1 2 1
Direct
0.000 0.000 0.000
0.285 0.500 0.784
0.715 0.500 0.216
0.500 0.000 0.500
```

As for the energy: -7.667 eV/atom. The density of states at the Fermi level comes out at 0.92 states/eV/atom.

Density functional theory data (GGA-PBE) for a geometry-optimized LaTa2Te structure.

Geometry as POSCAR:
```
LaTa2Te
1.0
3.608 0.000 0.000
0.000 5.303 0.000
0.000 0.000 9.596
La Ta Te
2 4 2
Direct
0.000 0.000 0.000
0.500 0.500 0.000
0.000 0.500 0.277
0.000 0.500 0.723
0.500 0.000 0.277
0.500 0.000 0.723
0.000 0.000 0.500
0.500 0.500 0.500
```

As for the energy: -7.391 eV/atom. The density of states at the Fermi level comes out at 1.03 states/eV/atom.

Density functional theory data (GGA-PBE) for a geometry-optimized La2TaTe structure.

Geometry as POSCAR:
```
La2TaTe
1.0
8.484 0.000 0.000
0.000 8.484 0.000
0.000 0.000 6.414
La Ta Te
8 4 4
Direct
0.224 0.750 0.125
0.250 0.224 0.875
0.250 0.276 0.375
0.276 0.750 0.625
0.724 0.250 0.625
0.750 0.724 0.375
0.750 0.776 0.875
0.776 0.250 0.125
0.000 0.000 0.000
0.000 0.500 0.250
0.500 0.000 0.750
0.500 0.500 0.500
0.000 0.000 0.500
0.000 0.500 0.750
0.500 0.000 0.250
0.500 0.500 0.000
```

As for the energy: -6.024 eV/atom. The density of states at the Fermi level comes out at 1.16 states/eV/atom.

Density functional theory data (GGA-PBE) for a geometry-optimized LaTaTe structure.

Geometry as POSCAR:
```
LaTaTe
1.0
4.853 0.000 0.000
-2.426 4.203 0.000
0.000 0.000 3.909
La Ta Te
1 1 1
Direct
0.000 0.000 0.000
0.667 0.333 0.500
0.333 0.667 0.500
```

The value obtained for the energy above the most stable polymorph in this dataset is 0.151 eV per atom. As for the energy: -6.662 eV/atom. The density of states at the Fermi level comes out at 1.42 states/eV/atom.

Density functional theory data (GGA-PBE) for a geometry-optimized LaTa2Te structure.

Geometry as POSCAR:
```
LaTa2Te
1.0
3.679 0.000 0.000
0.000 5.043 0.000
0.000 0.000 10.113
La Ta Te
2 4 2
Direct
0.000 0.000 0.000
0.500 0.500 0.500
0.000 0.000 0.466
0.000 0.500 0.765
0.500 0.000 0.265
0.500 0.500 0.966
0.000 0.500 0.222
0.500 0.000 0.722
```

As for the energy: -7.657 eV/atom. The density of states at the Fermi level comes out at 1.05 states/eV/atom.

Density functional theory data (GGA-PBE) for a geometry-optimized La2TaTe structure.

Geometry as POSCAR:
```
La2TaTe
1.0
4.963 0.000 0.000
0.000 4.963 0.000
0.000 0.000 9.074
La Ta Te
4 2 2
Direct
0.000 0.500 0.250
0.000 0.500 0.750
0.500 0.000 0.250
0.500 0.000 0.750
0.000 0.000 0.000
0.500 0.500 0.500
0.000 0.000 0.500
0.500 0.500 0.000
```

As for the energy: -6.182 eV/atom. The density of states at the Fermi level comes out at 1.31 states/eV/atom.

Density functional theory data (GGA-PBE) for a geometry-optimized La2Ta2Te structure.

Geometry as POSCAR:
```
La2Ta2Te
1.0
7.463 0.000 0.000
0.000 7.463 0.000
0.000 0.000 4.729
La Ta Te
4 4 2
Direct
0.178 0.322 0.000
0.322 0.822 0.000
0.678 0.178 0.000
0.822 0.678 0.000
0.123 0.623 0.500
0.377 0.123 0.500
0.623 0.877 0.500
0.877 0.377 0.500
0.000 0.000 0.500
0.500 0.500 0.500
```

The value obtained for the energy above the most stable polymorph in this dataset is 0.000 eV per atom. As for the energy: -7.222 eV/atom. The density of states at the Fermi level comes out at 0.90 states/eV/atom.

Density functional theory data (GGA-PBE) for a geometry-optimized LaTa2Te structure.

Geometry as POSCAR:
```
LaTa2Te
1.0
4.758 0.000 0.000
0.000 4.758 0.000
0.000 0.000 8.085
La Ta Te
2 4 2
Direct
0.000 0.000 0.000
0.500 0.500 0.500
0.000 0.000 0.500
0.000 0.500 0.750
0.500 0.000 0.250
0.500 0.500 0.000
0.000 0.500 0.250
0.500 0.000 0.750
```

As for the energy: -7.584 eV/atom. The density of states at the Fermi level comes out at 0.90 states/eV/atom.

Density functional theory data (GGA-PBE) for a geometry-optimized La2TaZnTe structure.

Geometry as POSCAR:
```
La2TaZnTe
1.0
5.594 0.000 0.000
0.000 5.594 0.000
0.000 0.000 4.973
La Ta Zn Te
2 1 1 1
Direct
0.000 0.500 0.000
0.500 0.000 0.000
0.000 0.000 0.000
0.000 0.000 0.500
0.500 0.500 0.500
```

As for the energy: -5.108 eV/atom. The density of states at the Fermi level comes out at 0.94 states/eV/atom.

Density functional theory data (GGA-PBE) for a geometry-optimized La2ThTa structure.

Geometry as POSCAR:
```
La2ThTa
1.0
3.292 0.000 0.000
-1.646 2.851 0.000
0.000 0.000 36.621
La Th Ta
6 3 3
Direct
0.000 0.000 0.080
0.000 0.000 0.920
0.333 0.667 0.587
0.333 0.667 0.747
0.667 0.333 0.253
0.667 0.333 0.413
0.000 0.000 0.500
0.333 0.667 0.167
0.667 0.333 0.833
0.000 0.000 0.000
0.333 0.667 0.667
0.667 0.333 0.333
```

As for the energy: -6.639 eV/atom. The density of states at the Fermi level comes out at 1.58 states/eV/atom.

Density functional theory data (GGA-PBE) for a geometry-optimized LaTaTi3 structure.

Geometry as POSCAR:
```
LaTaTi3
1.0
4.950 0.000 0.000
0.000 4.950 0.000
0.000 0.000 4.950
La Ta Ti
1 1 3
Direct
0.000 0.000 0.000
0.500 0.500 0.500
0.000 0.500 0.500
0.500 0.000 0.500
0.500 0.500 0.000
```

The value obtained for the energy above the most stable polymorph in this dataset is 0.000 eV per atom. As for the energy: -7.443 eV/atom. The density of states at the Fermi level comes out at 2.06 states/eV/atom.

Density functional theory data (GGA-PBE) for a geometry-optimized LaTaTi2 structure.

Geometry as POSCAR:
```
LaTaTi2
1.0
6.881 0.000 0.000
0.000 6.881 0.000
0.000 0.000 6.881
La Ta Ti
4 4 8
Direct
0.000 0.000 0.000
0.000 0.500 0.500
0.500 0.000 0.500
0.500 0.500 0.000
0.000 0.000 0.500
0.000 0.500 0.000
0.500 0.000 0.000
0.500 0.500 0.500
0.250 0.250 0.250
0.250 0.250 0.750
0.250 0.750 0.250
0.250 0.750 0.750
0.750 0.250 0.250
0.750 0.250 0.750
0.750 0.750 0.250
0.750 0.750 0.750
```

The value obtained for the energy above the most stable polymorph in this dataset is 0.180 eV per atom. As for the energy: -7.777 eV/atom. The density of states at the Fermi level comes out at 2.17 states/eV/atom.

Density functional theory data (GGA-PBE) for a geometry-optimized La3TaTi structure.

Geometry as POSCAR:
```
La3TaTi
1.0
5.596 0.000 0.000
0.000 5.596 0.000
0.000 0.000 5.596
La Ta Ti
3 1 1
Direct
0.000 0.000 0.500
0.000 0.500 0.000
0.500 0.000 0.000
0.000 0.000 0.000
0.500 0.500 0.500
```

As for the energy: -5.943 eV/atom. The density of states at the Fermi level comes out at 1.97 states/eV/atom.

Density functional theory data (GGA-PBE) for a geometry-optimized LaTaTi2 structure.

Geometry as POSCAR:
```
LaTaTi2
1.0
4.237 0.000 0.000
0.000 4.237 0.000
0.000 0.000 19.883
La Ta Ti
4 4 8
Direct
0.000 0.000 0.000
0.000 0.500 0.250
0.500 0.000 0.750
0.500 0.500 0.500
0.000 0.000 0.500
0.000 0.500 0.750
0.500 0.000 0.250
0.500 0.500 0.000
0.228 0.750 0.625
0.250 0.228 0.375
0.250 0.272 0.875
0.272 0.750 0.125
0.728 0.250 0.125
0.750 0.728 0.875
0.750 0.772 0.375
0.772 0.250 0.625
```

The value obtained for the energy above the most stable polymorph in this dataset is 0.644 eV per atom. As for the energy: -7.313 eV/atom. The density of states at the Fermi level comes out at 1.32 states/eV/atom.

Density functional theory data (GGA-PBE) for a geometry-optimized LaTaTi2 structure.

Geometry as POSCAR:
```
LaTaTi2
1.0
3.478 0.000 0.000
0.000 3.478 0.000
0.000 0.000 7.110
La Ta Ti
1 1 2
Direct
0.000 0.000 0.000
0.000 0.000 0.500
0.500 0.500 0.306
0.500 0.500 0.694
```

The value obtained for the energy above the most stable polymorph in this dataset is 0.000 eV per atom. As for the energy: -7.957 eV/atom. The density of states at the Fermi level comes out at 1.56 states/eV/atom.

Density functional theory data (GGA-PBE) for a geometry-optimized La2TaTl structure.

Geometry as POSCAR:
```
La2TaTl
1.0
3.409 0.000 0.000
-1.704 2.952 0.000
0.000 0.000 33.672
La Ta Tl
6 3 3
Direct
0.000 0.000 0.244
0.000 0.000 0.756
0.333 0.667 0.423
0.333 0.667 0.910
0.667 0.333 0.090
0.667 0.333 0.577
0.000 0.000 0.500
0.333 0.667 0.167
0.667 0.333 0.833
0.000 0.000 0.000
0.333 0.667 0.667
0.667 0.333 0.333
```

The value obtained for the energy above the most stable polymorph in this dataset is 0.167 eV per atom. As for the energy: -5.709 eV/atom. The density of states at the Fermi level comes out at 1.22 states/eV/atom.

Density functional theory data (GGA-PBE) for a geometry-optimized LaTaTl3 structure.

Geometry as POSCAR:
```
LaTaTl3
1.0
5.395 0.000 0.000
0.000 5.395 0.000
0.000 0.000 5.395
La Ta Tl
1 1 3
Direct
0.000 0.000 0.000
0.500 0.500 0.500
0.000 0.500 0.500
0.500 0.000 0.500
0.500 0.500 0.000
```

The value obtained for the energy above the most stable polymorph in this dataset is 0.000 eV per atom. As for the energy: -4.457 eV/atom. The density of states at the Fermi level comes out at 0.71 states/eV/atom.

Density functional theory data (GGA-PBE) for a geometry-optimized LaTa4Tl structure.

Geometry as POSCAR:
```
LaTa4Tl
1.0
0.000 4.055 4.055
4.055 0.000 4.055
4.055 4.055 0.000
La Ta Tl
1 4 1
Direct
0.000 0.000 0.000
0.119 0.627 0.627
0.627 0.119 0.627
0.627 0.627 0.119
0.627 0.627 0.627
0.250 0.250 0.250
```

As for the energy: -8.679 eV/atom. The density of states at the Fermi level comes out at 1.28 states/eV/atom.

Density functional theory data (GGA-PBE) for a geometry-optimized La2TaTl structure.

Geometry as POSCAR:
```
La2TaTl
1.0
4.730 0.000 0.000
0.000 4.730 0.000
0.000 0.000 9.669
La Ta Tl
4 2 2
Direct
0.000 0.000 0.000
0.000 0.500 0.250
0.500 0.000 0.750
0.500 0.500 0.500
0.000 0.500 0.750
0.500 0.000 0.250
0.000 0.000 0.500
0.500 0.500 0.000
```

The value obtained for the energy above the most stable polymorph in this dataset is 0.115 eV per atom. As for the energy: -5.761 eV/atom. The density of states at the Fermi level comes out at 1.09 states/eV/atom.

Density functional theory data (GGA-PBE) for a geometry-optimized La2Ta2Tl structure.

Geometry as POSCAR:
```
La2Ta2Tl
1.0
9.410 0.000 0.000
0.000 9.410 0.000
0.000 0.000 3.176
La Ta Tl
4 4 2
Direct
0.200 0.300 0.000
0.300 0.800 0.000
0.700 0.200 0.000
0.800 0.700 0.000
0.095 0.595 0.500
0.405 0.095 0.500
0.595 0.905 0.500
0.905 0.405 0.500
0.000 0.000 0.000
0.500 0.500 0.000
```

The value obtained for the energy above the most stable polymorph in this dataset is 0.262 eV per atom. As for the energy: -6.556 eV/atom. The density of states at the Fermi level comes out at 1.08 states/eV/atom.

Density functional theory data (GGA-PBE) for a geometry-optimized LaTaTl3 structure.

Geometry as POSCAR:
```
LaTaTl3
1.0
5.889 0.000 0.000
0.000 5.889 0.000
0.000 0.000 5.889
La Ta Tl
1 1 3
Direct
0.000 0.000 0.000
0.500 0.500 0.500
0.000 0.000 0.500
0.000 0.500 0.000
0.500 0.000 0.000
```

The value obtained for the energy above the most stable polymorph in this dataset is 1.471 eV per atom. As for the energy: -2.985 eV/atom. The density of states at the Fermi level comes out at 2.17 states/eV/atom.

Density functional theory data (GGA-PBE) for a geometry-optimized La2TaTl structure.

Geometry as POSCAR:
```
La2TaTl
1.0
8.584 0.000 0.000
0.000 8.584 0.000
0.000 0.000 6.280
La Ta Tl
8 4 4
Direct
0.223 0.750 0.125
0.250 0.223 0.875
0.250 0.277 0.375
0.277 0.750 0.625
0.723 0.250 0.625
0.750 0.723 0.375
0.750 0.777 0.875
0.777 0.250 0.125
0.000 0.000 0.000
0.000 0.500 0.250
0.500 0.000 0.750
0.500 0.500 0.500
0.000 0.000 0.500
0.000 0.500 0.750
0.500 0.000 0.250
0.500 0.500 0.000
```

The value obtained for the energy above the most stable polymorph in this dataset is 0.412 eV per atom. As for the energy: -5.464 eV/atom. The density of states at the Fermi level comes out at 1.42 states/eV/atom.